No. 1
A relaxed MgCd2W crystal. Source: Alexandria via LeMat-Bulk, functional GGA-PBE.

Geometry as CIF:
```
data_MgCd2W
_chemical_formula_sum 'Mg1 Cd2 W1'
_symmetry_space_group_name_H-M 'P 1'
_symmetry_Int_Tables_number 1
_symmetry_space_group_name_Hall 'P 1'
_cell_length_a 3.080
_cell_length_b 4.934
_cell_length_c 4.998
_cell_angle_alpha 90.00
_cell_angle_beta 90.00
_cell_angle_gamma 90.00
loop_
_atom_site_label
_atom_site_type_symbol
_atom_site_fract_x
_atom_site_fract_y
_atom_site_fract_z
Mg1 Mg 0.000 0.000 0.000
Cd1 Cd 0.000 0.500 0.500
Cd2 Cd 0.500 0.000 0.500
W1 W 0.500 0.500 0.000
```

DFT formation energy = 55.1 kJ/mol of atoms
Space group = No. 47
E = -3.523 eV/atom

***

No. 2
A relaxed MgCd2W crystal. Source: Alexandria via LeMat-Bulk, functional GGA-PBE.

Geometry as CIF:
```
data_MgCd2W
_chemical_formula_sum 'Mg1 Cd2 W1'
_symmetry_space_group_name_H-M 'P 1'
_symmetry_Int_Tables_number 1
_symmetry_space_group_name_Hall 'P 1'
_cell_length_a 4.796
_cell_length_b 4.796
_cell_length_c 4.796
_cell_angle_alpha 60.00
_cell_angle_beta 60.00
_cell_angle_gamma 60.00
loop_
_atom_site_label
_atom_site_type_symbol
_atom_site_fract_x
_atom_site_fract_y
_atom_site_fract_z
Mg1 Mg 0.000 0.000 0.000
Cd1 Cd 0.250 0.250 0.250
Cd2 Cd 0.500 0.500 0.500
W1 W 0.750 0.750 0.750
```

DFT formation energy = 70.0 kJ/mol of atoms
Space group = No. 216
E = -3.369 eV/atom

***

No. 3
A relaxed YMg10Cd2 crystal. Source: Alexandria via LeMat-Bulk, functional GGA-PBE.

Geometry as CIF:
```
data_YMg10Cd2
_chemical_formula_sum 'Y1 Mg10 Cd2'
_symmetry_space_group_name_H-M 'P 1'
_symmetry_Int_Tables_number 1
_symmetry_space_group_name_Hall 'P 1'
_cell_length_a 10.080
_cell_length_b 7.747
_cell_length_c 7.701
_cell_angle_alpha 81.46
_cell_angle_beta 49.47
_cell_angle_gamma 49.07
loop_
_atom_site_label
_atom_site_type_symbol
_atom_site_fract_x
_atom_site_fract_y
_atom_site_fract_z
Y1 Y 0.000 0.000 0.000
Mg1 Mg 0.000 0.500 0.000
Mg2 Mg 0.004 0.650 0.350
Mg3 Mg 0.288 0.502 0.498
Mg4 Mg 0.350 0.996 0.004
Mg5 Mg 0.498 0.712 0.288
Mg6 Mg 0.500 0.000 0.500
Mg7 Mg 0.502 0.288 0.712
Mg8 Mg 0.650 0.004 0.996
Mg9 Mg 0.712 0.498 0.502
Mg10 Mg 0.996 0.350 0.650
Cd1 Cd 0.000 0.000 0.500
Cd2 Cd 0.500 0.500 0.000
```

DFT formation energy = -6.7 kJ/mol of atoms
Space group = No. 69
E = -1.934 eV/atom

***

No. 4
A relaxed Y2Mg5Cd crystal. Source: Alexandria via LeMat-Bulk, functional GGA-PBE.

Geometry as CIF:
```
data_Y2Mg5Cd
_chemical_formula_sum 'Y2 Mg5 Cd1'
_symmetry_space_group_name_H-M 'P 1'
_symmetry_Int_Tables_number 1
_symmetry_space_group_name_Hall 'P 1'
_cell_length_a 6.746
_cell_length_b 6.746
_cell_length_c 5.032
_cell_angle_alpha 90.00
_cell_angle_beta 90.00
_cell_angle_gamma 90.00
loop_
_atom_site_label
_atom_site_type_symbol
_atom_site_fract_x
_atom_site_fract_y
_atom_site_fract_z
Y1 Y 0.000 0.500 0.000
Y2 Y 0.500 0.000 0.000
Mg1 Mg 0.000 0.000 0.000
Mg2 Mg 0.285 0.285 0.500
Mg3 Mg 0.285 0.715 0.500
Mg4 Mg 0.715 0.285 0.500
Mg5 Mg 0.715 0.715 0.500
Cd1 Cd 0.000 0.000 0.500
```

DFT formation energy = 23.3 kJ/mol of atoms
Space group = No. 123
E = -2.485 eV/atom